The following is a DFT calculation (GGA-PBE) of a geometry-optimized ZrZnW2 structure.

Cell and atoms, written as extended XYZ:
```
4
Lattice="-2.7356 -0.1330 -0.1192 0.1762 -1.7118 -2.1340 0.0970 -7.1135 5.7140" Properties=species:S:1:pos:R:3 pbc="T T T"
W 0.0009 -0.0684 0.0550
W -1.2544 -2.7785 0.3643
Zr -1.2076 -6.2032 3.1153
Zn 0.0473 -3.4649 2.7832
```

Properties
The density of states at the Fermi level is 0.702 states/eV per atom. The calculated density is 12.70 Mg/m³. As for the total energy: -34.67 eV per cell. For the total moment, the calculation gives 0.0 μB/f.u.

---

The following is a DFT calculation (GGA-PBE) of a geometry-optimized ZrZnW2 structure.

Cell and atoms, written as extended XYZ:
```
4
Lattice="-0.4024 -3.5631 3.7714 -2.3408 -4.3606 -1.6083 4.0964 3.0090 -1.1161" Properties=species:S:1:pos:R:3 pbc="T T T"
Zr 1.1427 -2.3113 1.8830
W -0.0404 -0.1167 0.0319
W 0.2261 -2.5582 -0.8483
Zn -1.3469 -3.8902 1.0620
```

Properties
The density of states at the Fermi level is 0.818 states/eV per atom. The calculated density is 12.49 Mg/m³. As for the total energy: -34.77 eV per cell. For the total moment, the calculation gives 0.0 μB/f.u.

---

The following is a DFT calculation (GGA-PBE) of a geometry-optimized ZrZnW2 structure.

Cell and atoms, written as extended XYZ:
```
4
Lattice="4.8119 0.0000 0.0000 0.0000 2.8070 -0.0060 0.0000 0.5524 5.1022" Properties=species:S:1:pos:R:3 pbc="T T T"
Zr 2.4059 2.5196 3.8222
W 0.0000 1.5765 2.5790
W 0.0000 0.6557 5.0714
Zn 2.4059 0.8399 1.2741
```

Properties
The density of states at the Fermi level is 0.850 states/eV per atom. The calculated density is 12.63 Mg/m³. As for the total energy: -34.75 eV per cell. For the total moment, the calculation gives 0.0 μB/f.u.

---

The following is a DFT calculation (GGA-PBE) of a geometry-optimized ZrZn2W structure.

Cell and atoms, written as extended XYZ:
```
4
Lattice="9.7119 -0.0016 -0.0009 9.2882 2.8375 -0.0009 9.2882 1.3863 2.4758" Properties=species:S:1:pos:R:3 pbc="T T T"
Zn 13.9961 2.0890 1.2240
Zn 0.1481 0.0221 0.0130
W 21.2162 3.1667 1.8554
Zr 7.0721 1.0556 0.6185
```

Properties
The density of states at the Fermi level is 0.621 states/eV per atom. The calculated density is 9.87 Mg/m³. For the total moment, the calculation gives 0.0 μB/f.u. The value obtained for the relative energy among the computed polymorphs is 0.170 eV/atom.

---

The following is a DFT calculation (GGA-PBE) of a geometry-optimized ZrZn2W structure.

Cell and atoms, written as extended XYZ:
```
4
Lattice="3.4691 0.0000 0.0000 0.0000 3.4691 0.0000 0.0000 0.0000 5.7824" Properties=species:S:1:pos:R:3 pbc="T T T"
Zr 0.0000 0.0000 2.9744
Zn 0.0000 0.0000 5.7651
Zn 1.7345 1.7345 1.3471
W 1.7345 1.7345 4.3695
```

Properties
The density of states at the Fermi level is 0.731 states/eV per atom. The calculated density is 9.69 Mg/m³. For the total moment, the calculation gives 0.0 μB/f.u. The value obtained for the relative energy among the computed polymorphs is 0.187 eV/atom.

---

The following is a DFT calculation (GGA-PBE) of a geometry-optimized Zr3ZnW structure.

Cell and atoms, written as extended XYZ:
```
5
Lattice="4.8663 0.0000 0.0000 0.0000 4.8663 0.0000 0.0000 0.0000 4.8663" Properties=species:S:1:pos:R:3 pbc="T T T"
W 2.4332 2.4332 2.4332
Zr 0.0000 2.4332 0.0000
Zr 2.4332 0.0000 0.0000
Zr 0.0000 0.0000 2.4332
Zn 0.0000 0.0000 0.0000
```

Properties
The density of states at the Fermi level is 2.532 states/eV per atom. The calculated density is 7.53 Mg/m³. For the total moment, the calculation gives 0.0 μB/f.u. The value obtained for the relative energy among the computed polymorphs is 0.241 eV/atom.

---

The following is a DFT calculation (GGA-PBE) of a geometry-optimized ZrZnW2 structure.

Cell and atoms, written as extended XYZ:
```
4
Lattice="3.9016 0.0000 0.0000 0.0000 3.9016 0.0000 0.0000 0.0000 4.4960" Properties=species:S:1:pos:R:3 pbc="T T T"
W 1.9508 1.9508 0.0000
W 0.0000 0.0000 0.0000
Zr 0.0000 1.9508 2.2480
Zn 1.9508 0.0000 2.2480
```

Properties
The density of states at the Fermi level is 0.870 states/eV per atom. The calculated density is 12.72 Mg/m³. As for the total energy: -34.98 eV per cell. For the total moment, the calculation gives 0.0 μB/f.u.

---

The following is a DFT calculation (GGA-PBE) of a geometry-optimized ZrZn2W structure.

Cell and atoms, written as extended XYZ:
```
4
Lattice="3.9969 0.0000 0.0000 0.0000 2.8480 0.0259 0.0000 2.8149 5.8395" Properties=species:S:1:pos:R:3 pbc="T T T"
W 1.9984 4.2472 4.3991
Zn 0.0000 2.8300 3.0694
Zn 0.0000 2.8163 5.7029
Zr 1.9984 1.4157 1.4664
```

Properties
The density of states at the Fermi level is 0.355 states/eV per atom. The calculated density is 10.18 Mg/m³. For the total moment, the calculation gives 0.0 μB/f.u. The value obtained for the relative energy among the computed polymorphs is 0.000 eV/atom.

---

Repeat the second record exactly.
The following is a DFT calculation (GGA-PBE) of a geometry-optimized ZrZnW2 structure.

Cell and atoms, written as extended XYZ:
```
4
Lattice="-0.4024 -3.5631 3.7714 -2.3408 -4.3606 -1.6083 4.0964 3.0090 -1.1161" Properties=species:S:1:pos:R:3 pbc="T T T"
Zr 1.1427 -2.3113 1.8830
W -0.0404 -0.1167 0.0319
W 0.2261 -2.5582 -0.8483
Zn -1.3469 -3.8902 1.0620
```

Properties
The density of states at the Fermi level is 0.818 states/eV per atom. The calculated density is 12.49 Mg/m³. As for the total energy: -34.77 eV per cell. For the total moment, the calculation gives 0.0 μB/f.u.

---

> Among the records above, which one has the lowest calculated density?

Zr3ZnW

---

What did the fourth record say?
The following is a DFT calculation (GGA-PBE) of a geometry-optimized ZrZn2W structure.

Cell and atoms, written as extended XYZ:
```
4
Lattice="9.7119 -0.0016 -0.0009 9.2882 2.8375 -0.0009 9.2882 1.3863 2.4758" Properties=species:S:1:pos:R:3 pbc="T T T"
Zn 13.9961 2.0890 1.2240
Zn 0.1481 0.0221 0.0130
W 21.2162 3.1667 1.8554
Zr 7.0721 1.0556 0.6185
```

Properties
The density of states at the Fermi level is 0.621 states/eV per atom. The calculated density is 9.87 Mg/m³. For the total moment, the calculation gives 0.0 μB/f.u. The value obtained for the relative energy among the computed polymorphs is 0.170 eV/atom.

---

> What is the formula in the fourth record?

ZrZn2W